# IrPt6Rh5 (PBE-GGA, relaxed)
data_IrPt6Rh5
_chemical_formula_sum 'Ir2 Pt12 Rh10'
_space_group_name_H-M_alt 'I m m m'
_space_group_IT_number 71
_space_group_name_Hall '-I 2 2'
_cell_length_a 3.911
_cell_length_b 7.815
_cell_length_c 11.723
_cell_angle_alpha 90.00
_cell_angle_beta 90.00
_cell_angle_gamma 90.00
loop_
_atom_site_label
_atom_site_fract_x
_atom_site_fract_y
_atom_site_fract_z
_atom_site_occupancy
Ir1 0.000 0.000 0.000 1
Pt1 0.000 0.249 0.166 1
Pt2 0.000 0.251 0.500 1
Rh1 0.000 0.000 0.334 1
Rh2 0.000 0.500 0.000 1
Rh3 0.000 0.500 0.334 1
# * distance to the lowest polymorph of the same formula: 0.0 kJ/mol of formula units
# * DOS at the Fermi energy: 43.442 states/eV per cell
# * mass density: 17398 kg/m3
# * ΔE_f: -0.003 eV per atom
# * VASP energy: -6.825 eV/atom